# 1
# Pm2Y7Ho PBE-GGA optimized geometry
# M_tot: 0.0 μB per formula unit
# volume: 334 Å³/f.u.
# excess energy over the best structure of this formula in the dataset: 141 meV/atom
# crystal system: orthorhombic
data_Pm2Y7Ho
_cell_length_a 6.530
_cell_length_b 28.999
_cell_length_c 3.527
_cell_angle_alpha 90.00
_cell_angle_beta 90.00
_cell_angle_gamma 90.00
_space_group_name_H-M_alt 'C m m m'
_space_group_IT_number 65
_space_group_name_Hall '-C 2 2'
loop_
_atom_site_label
_atom_site_fract_x
_atom_site_fract_y
_atom_site_fract_z
Pm1 0.000 0.208 0.000
Y1 0.000 0.000 0.000
Y2 0.000 0.314 0.500
Y3 0.246 0.402 0.000
Ho1 0.000 0.500 0.500

# 2
# Pm4Y5Ho PBE-GGA optimized geometry
# M_tot: 0.0 μB per formula unit
# volume: 343 Å³/f.u.
# excess energy over the best structure of this formula in the dataset: 61 meV/atom
# crystal system: tetragonal
data_Pm4Y5Ho
_cell_length_a 10.701
_cell_length_b 10.701
_cell_length_c 5.987
_cell_angle_alpha 90.00
_cell_angle_beta 90.00
_cell_angle_gamma 90.00
_space_group_name_H-M_alt 'I 4 m m'
_space_group_IT_number 107
_space_group_name_Hall 'I 4 -2'
loop_
_atom_site_label
_atom_site_fract_x
_atom_site_fract_y
_atom_site_fract_z
Pm1 0.000 0.325 0.000
Y1 0.000 0.000 0.762
Y2 0.189 0.189 0.492
Ho1 0.000 0.000 0.235

| no. | calculated formation energy (eV/atom) |
| --- | --- |
| 1 | 0.1615 |
| 2 | 0.2480 |